Record 1
Nb12Ga5C2 | PBE-GGA | optimized geometry

Lattice parameters (Å, degrees): 6.683 8.242 7.337 116.43 90.00 113.92
Fractional coordinates of all 19 atoms:
Ga1 0.229 0.457 0.972
Nb1 0.000 0.000 0.825
Nb2 0.419 0.262 0.631
Ga2 0.229 0.457 0.486
C1 0.270 0.000 0.000
Nb3 0.893 0.317 0.158
Nb4 0.107 0.683 0.842
Nb5 0.500 0.000 0.773
Nb6 0.424 0.317 0.158
Ga3 0.771 0.543 0.028
Nb7 0.576 0.683 0.842
Nb8 0.844 0.262 0.631
Nb9 0.156 0.738 0.369
C2 0.730 0.000 0.000
Nb10 0.500 0.000 0.227
Ga4 0.771 0.543 0.514
Ga5 0.000 0.000 0.500
Nb11 0.000 0.000 0.175
Nb12 0.581 0.738 0.369

Electronic total energy (eV/cell): -155.44
E_form (eV/atom): -0.05



Record 2
Zr5HPb2 | PBE-GGA | optimized geometry

Lattice parameters (Å, degrees): 6.410 6.410 6.227 120.88 120.88 90.17
Fractional coordinates of all 8 atoms:
Pb1 0.252 0.752 0.504
Zr1 0.751 0.751 0.006
Zr2 0.753 0.753 0.506
Zr3 0.752 0.255 0.007
Pb2 0.752 0.252 0.504
Zr4 0.255 0.255 0.007
H1 0.006 0.006 0.012
Zr5 0.255 0.752 0.007

Electronic total energy (eV/cell): -54.32



Record 3
LiFeSn | PBE-GGA | optimized geometry

Lattice parameters (Å, degrees): 4.417 4.417 5.658 90.00 90.00 120.00
Each line ends with the local moment (μB).
Fractional coordinates of all 6 atoms:
Sn1 0.333 0.667 0.801  -0.02
Fe1 0.333 0.667 0.335  2.35
Sn2 0.000 0.000 0.236  -0.05
Li1 0.000 0.000 0.696  0.01
Li2 0.667 0.333 0.012  -0.01
Fe2 0.667 0.333 0.485  2.69

Electronic total energy (eV/cell): -29.03
E_form (eV/atom): -0.05



> Among the records above, which one has the lowest electronic total energy?

Nb12Ga5C2



> Which of these has the highest electronic total energy?

LiFeSn



Repeat the third record exactly.
LiFeSn | PBE-GGA | optimized geometry

Lattice parameters (Å, degrees): 4.417 4.417 5.658 90.00 90.00 120.00
Each line ends with the local moment (μB).
Fractional coordinates of all 6 atoms:
Sn1 0.333 0.667 0.801  -0.02
Fe1 0.333 0.667 0.335  2.35
Sn2 0.000 0.000 0.236  -0.05
Li1 0.000 0.000 0.696  0.01
Li2 0.667 0.333 0.012  -0.01
Fe2 0.667 0.333 0.485  2.69

Electronic total energy (eV/cell): -29.03
E_form (eV/atom): -0.05



> Which formula does entry 1 have?

Nb12Ga5C2